[1]
Entry from Alexandria via LeMat-Bulk: a geometry-optimized CaCeLuIn structure (PBE-GGA).

Results
Energy of formation from the pure elements, meV per atom: -30
SG: F-43m

The structure in POSCAR format:
```
CaCeLuIn
1.0
-3.8032 -2.3775 3.2189
-1.9673 -4.9967 -1.2808
1.3433 -4.3714 3.0926
Ca Lu Ce In
1 1 1 1
Direct
0.5000 0.5000 0.5000
0.7500 0.7500 0.7500
0.0000 0.0000 0.0000
0.2500 0.2500 0.2500
```



[2]
Entry from Alexandria via LeMat-Bulk: a geometry-optimized CaCe2MgIn4 structure (PBE-GGA).

Results
Energy of formation from the pure elements, meV per atom: -337
SG: R-3m

The structure in POSCAR format:
```
CaCe2MgIn4
1.0
5.3369 0.0000 0.0000
2.6685 4.6219 0.0000
2.6685 1.5406 8.8458
Ca Ce Mg In
1 2 1 4
Direct
0.0000 0.0000 0.0000
0.7543 0.7543 0.7372
0.2457 0.2457 0.2628
0.5000 0.5000 0.5000
0.3761 0.3761 0.8717
0.8746 0.8746 0.3762
0.1254 0.1254 0.6238
0.6239 0.6239 0.1283
```



[3]
Entry from Alexandria via LeMat-Bulk: a geometry-optimized CaCeMgIn structure (PBE-GGA).

Results
Energy of formation from the pure elements, meV per atom: -223
SG: F-43m

The structure in POSCAR format:
```
CaCeMgIn
1.0
-3.7591 1.1830 -3.7964
-2.7458 -4.0310 -2.4808
-5.3106 -0.7600 1.0780
Ca Mg Ce In
1 1 1 1
Direct
0.7500 0.7500 0.7500
0.0000 0.0000 0.0000
0.2500 0.2500 0.2500
0.5000 0.5000 0.5000
```



[4]
Entry from Alexandria via LeMat-Bulk: a geometry-optimized Ca4Ce3InN8 structure (PBE-GGA).

Results
SG: C2/m
Raw formation energy, eV/atom: -0.998

The structure in POSCAR format:
```
Ca4Ce3InN8
1.0
-0.3130 4.3769 5.4692
-7.0144 0.0121 -0.4111
3.4681 -6.0969 0.5828
Ca Ce In N
4 3 1 8
Direct
0.5000 0.0000 0.0000
0.5000 0.0000 0.5000
0.0000 0.0000 0.0000
0.0000 0.0000 0.5000
0.5000 0.5000 0.0000
0.5000 0.5000 0.5000
0.0000 0.5000 0.5000
0.0000 0.5000 0.0000
0.2476 0.7310 0.9850
0.2481 0.7310 0.4963
0.2595 0.2794 0.5189
0.7374 0.7310 0.9850
0.2626 0.2690 0.0150
0.7405 0.7206 0.4811
0.7519 0.2690 0.5037
0.7524 0.2690 0.0150
```



[5]
Entry from Alexandria via LeMat-Bulk: a geometry-optimized NaCaCeIn structure (PBE-GGA).

Results
Energy of formation from the pure elements, meV per atom: -77
SG: F-43m

The structure in POSCAR format:
```
NaCaCeIn
1.0
-2.0823 -1.9547 -4.7870
3.3768 -0.9207 -4.3384
1.1203 -5.2205 -1.6011
Na Ca Ce In
1 1 1 1
Direct
0.5000 0.5000 0.5000
0.2500 0.2500 0.2500
0.7500 0.7500 0.7500
0.0000 0.0000 0.0000
```



[6]
Entry from Alexandria via LeMat-Bulk: a geometry-optimized CaCeNdIn structure (PBE-GGA).

Results
Energy of formation from the pure elements, meV per atom: 5
SG: F-43m

The structure in POSCAR format:
```
CaCeNdIn
1.0
5.5902 0.0000 0.0000
2.7951 4.8412 0.0000
2.7951 1.6137 4.5644
Ca Nd Ce In
1 1 1 1
Direct
0.2500 0.2500 0.2500
0.7500 0.7500 0.7500
0.0000 0.0000 0.0000
0.5000 0.5000 0.5000
```



[7]
Entry from Alexandria via LeMat-Bulk: a geometry-optimized Ca2CeInO6 structure (PBE-GGA).

Results
SG: P2_1/c
Raw formation energy, eV/atom: -2.492

The structure in POSCAR format:
```
Ca2CeInO6
1.0
5.7835 0.0000 -0.0800
0.0000 5.9720 0.0000
-0.0634 0.0000 8.2783
Ca Ce In O
4 2 2 12
Direct
0.0209 0.9450 0.2456
0.5209 0.5550 0.7456
0.9791 0.0550 0.7544
0.4791 0.4450 0.2544
0.5000 0.0000 0.0000
0.0000 0.5000 0.5000
0.5000 0.0000 0.5000
0.0000 0.5000 0.0000
0.2990 0.7003 0.0724
0.7990 0.7997 0.5724
0.7010 0.2997 0.9276
0.2010 0.2003 0.4276
0.3075 0.7009 0.4356
0.8075 0.7991 0.9356
0.6925 0.2991 0.5644
0.1925 0.2009 0.0644
0.8691 0.5630 0.2478
0.3691 0.9370 0.7478
0.1309 0.4370 0.7522
0.6309 0.0630 0.2522
```



[8]
Entry from Alexandria via LeMat-Bulk: a geometry-optimized CaCeInPb structure (PBE-GGA).

Results
Energy of formation from the pure elements, meV per atom: -403
SG: F-43m
Energy above the lowest structure with this stoichiometry, meV per atom: 14.7

The structure in POSCAR format:
```
CaCeInPb
1.0
5.5175 0.0000 0.0000
2.7587 4.7783 0.0000
2.7587 1.5928 4.5050
Pb Ca Ce In
1 1 1 1
Direct
0.7500 0.7500 0.7500
0.5000 0.5000 0.5000
0.0000 0.0000 0.0000
0.2500 0.2500 0.2500
```



[9]
Entry from Alexandria via LeMat-Bulk: a geometry-optimized CaCeInPb structure (PBE-GGA).

Results
Energy of formation from the pure elements, meV per atom: -417
SG: Pmmm
Energy above the lowest structure with this stoichiometry, meV per atom: 0.0

The structure in POSCAR format:
```
CaCeInPb
1.0
-3.0663 3.1683 0.7902
-2.1409 -0.9418 -4.5315
-3.0751 -3.5209 2.1846
Ca Ce In Pb
1 1 1 1
Direct
0.5000 0.5000 0.0000
0.5000 0.0000 0.5000
0.0000 0.0000 0.0000
0.0000 0.5000 0.5000
```



[10]
Entry from Alexandria via LeMat-Bulk: a geometry-optimized CaCePm2In4 structure (PBE-GGA).

Results
Energy of formation from the pure elements, meV per atom: -437
SG: R-3m

The structure in POSCAR format:
```
CaCePm2In4
1.0
5.4352 0.0000 0.0000
2.7176 4.7070 0.0000
2.7176 1.5690 8.9901
Ca Ce Pm In
1 1 2 4
Direct
0.0000 0.0000 0.0000
0.5000 0.5000 0.5000
0.7467 0.7467 0.7598
0.2533 0.2533 0.2402
0.3759 0.3759 0.8723
0.8742 0.8742 0.3774
0.1258 0.1258 0.6226
0.6241 0.6241 0.1277
```



[11]
Entry from Alexandria via LeMat-Bulk: a geometry-optimized CaCePmIn structure (PBE-GGA).

Results
Energy of formation from the pure elements, meV per atom: -14
SG: F-43m

The structure in POSCAR format:
```
CaCePmIn
1.0
-5.2424 -1.2857 -1.4340
-1.0674 -4.7753 -2.6924
-2.6749 -4.1447 2.6189
Ca In Ce Pm
1 1 1 1
Direct
0.7500 0.7500 0.7500
0.5000 0.5000 0.5000
0.2500 0.2500 0.2500
0.0000 0.0000 0.0000
```



[12]
Entry from Alexandria via LeMat-Bulk: a geometry-optimized CaCePrIn structure (PBE-GGA).

Results
Energy of formation from the pure elements, meV per atom: 4
SG: F-43m

The structure in POSCAR format:
```
CaCePrIn
1.0
-2.1014 -2.3190 4.6524
-1.0499 -5.5055 0.1603
3.1940 -3.3729 3.1402
Pr Ca Ce In
1 1 1 1
Direct
0.2500 0.2500 0.2500
0.7500 0.7500 0.7500
0.0000 0.0000 0.0000
0.5000 0.5000 0.5000
```



Sequential uncorrected energy output: -15.3; -29.1; -13.2; -111.1; -12.3; -15.4; -134.7; -16.0; -16.1; -31.9; -15.5; -15.4 eV per cell
Sequential M_tot output: 1.6; 1.8; 1.1; 0.8; 1.0; 3.2; 0.9; 0.9; 1.0; 1.0; 2.6; 3.1 μB per formula unit